Ag2IrAu after structural relaxation, computed with PBEsol.

E, eV/atom: -4.877
Magnetization, Bohr magnetons per cell: 0.00
Formation enthalpy at 0 K, meV per atom: 215
Calculated density, g/cm³: 15.702

Cell lengths 2.7445, 2.7445, 9.6426 Å; angles 90.00, 90.00, 118.26 degrees
Last column: nearest neighbours and their distance in Å.
Fractional positions:
Ir (0.5000, 0.5000, 0.0000)  6 Ir 2.74-2.82, 4 Ag 2.76
Au (0.5000, 0.5000, 0.5000)  6 Au 2.74-2.82, 4 Ag 2.83
Ag (0.0000, 0.0000, 0.2458)  6 Ag 2.74-2.82, 2 Ir 2.76, 2 Au 2.83
Ag (0.0000, 0.0000, 0.7542)  6 Ag 2.74-2.82, 2 Ir 2.76, 2 Au 2.83

Cr2HSe after structural relaxation, computed with PBEsol.

E, eV/atom: -6.488
Magnetization, Bohr magnetons per cell: 4.59
Calculated density, g/cm³: 6.753

Cell lengths 3.9994, 3.9994, 3.9994 Å; angles 60.00, 60.00, 60.00 degrees
Last column: nearest neighbours and their distance in Å.
Fractional positions:
Cr (0.2500, 0.2500, 0.2500)  4 H 2.45, 4 Se 2.45
Cr (0.7500, 0.7500, 0.7500)  4 Se 2.45, 4 H 2.45
Se (0.5000, 0.5000, 0.5000)  8 Cr 2.45
H (0.0000, 0.0000, 0.0000)  8 Cr 2.45

ReSiPt3 after structural relaxation, computed with PBEsol.

E_form (uncorrected), eV/atom: 0.9828
E, eV/atom: -7.011
Magnetization, Bohr magnetons per cell: 3.25
Calculated density, g/cm³: 15.293

Cell lengths 4.4279, 4.4279, 4.4279 Å; angles 90.00, 90.00, 90.00 degrees
Last column: nearest neighbours and their distance in Å.
Fractional positions:
Re (0.5000, 0.5000, 0.5000)  12 Pt 3.13
Si (0.0000, 0.0000, 0.0000)  6 Pt 2.21
Pt (0.0000, 0.5000, 0.0000)  2 Si 2.21
Pt (0.0000, 0.0000, 0.5000)  2 Si 2.21
Pt (0.5000, 0.0000, 0.0000)  2 Si 2.21

Zn2AgH after structural relaxation, computed with PBEsol.

E, eV/atom: -2.193
Magnetization, Bohr magnetons per cell: 0.00
Calculated density, g/cm³: 7.693

Cell lengths 5.1293, 5.1293, 5.1293 Å; angles 105.28, 111.61, 111.61 degrees
Last column: nearest neighbours and their distance in Å.
Fractional positions:
H (0.0000, 0.5000, 0.5000)  4 Zn 1.85
H (0.5000, 0.2500, 0.7500)  4 Zn 1.85
Zn (0.8979, 0.5229, 0.1250)  2 H 1.85
Zn (0.1021, 0.2271, 0.6250)  2 H 1.85
Zn (0.6021, 0.3750, 0.4771)  2 H 1.85
Zn (0.3979, 0.8750, 0.7729)  2 H 1.85
Ag (0.0000, 0.0000, 0.0000)  8 Zn 2.61-2.87
Ag (0.5000, 0.7500, 0.2500)  8 Zn 2.61-2.87

LaFePb2 after structural relaxation, computed with PBEsol.

E, eV/atom: -5.484
Magnetization, Bohr magnetons per cell: 1.41
Formation enthalpy at 0 K, meV per atom: 93
Calculated density, g/cm³: 10.163

Cell lengths 3.6198, 4.7316, 6.2741 Å; angles 112.15, 90.00, 90.00 degrees
Last column: nearest neighbours and their distance in Å.
Fractional positions:
Fe (0.0000, 0.1438, 0.2877)  3 Pb 2.62-2.72
La (0.5000, 0.6125, 0.2249)  4 Fe 3.00
Pb (0.0000, 0.9186, 0.8373)  1 Fe 2.62
Pb (0.5000, 0.3185, 0.6370)  2 Fe 2.72

Ca2CdCu after structural relaxation, computed with PBEsol.

E, eV/atom: -2.607
Magnetization, Bohr magnetons per cell: 0.00
Formation enthalpy at 0 K, meV per atom: -158
Calculated density, g/cm³: 4.446

Cell lengths 3.5274, 3.5292, 7.6836 Å; angles 90.00, 89.99, 90.00 degrees
Last column: nearest neighbours and their distance in Å.
Fractional positions:
Ca (0.0003, 0.0000, 0.7261)  4 Cu 3.04, 4 Cd 3.26
Ca (0.9997, 0.0000, 0.2739)  4 Cu 3.04, 4 Cd 3.26
Cu (0.5000, 0.5000, 0.5000)  8 Ca 3.04
Cd (0.5000, 0.5000, 0.0000)  8 Ca 3.26, 4 Cd 3.53

ZrAl3In after structural relaxation, computed with PBEsol.

E, eV/atom: -3.843
Magnetization, Bohr magnetons per cell: 0.00
Formation enthalpy at 0 K, meV per atom: 1027
Calculated density, g/cm³: 3.901

Cell lengths 4.9620, 4.9620, 4.9620 Å; angles 90.00, 90.00, 90.00 degrees
Last column: nearest neighbours and their distance in Å.
Fractional positions:
Al (0.0000, 0.5000, 0.0000)  2 In 2.48
Al (0.0000, 0.0000, 0.5000)  2 In 2.48
Al (0.5000, 0.0000, 0.0000)  2 In 2.48
Zr (0.5000, 0.5000, 0.5000)  12 Al 3.51
In (0.0000, 0.0000, 0.0000)  6 Al 2.48

TiTcN2 after structural relaxation, computed with PBEsol.

E_form (uncorrected), eV/atom: -0.3923
E, eV/atom: -9.553
Magnetization, Bohr magnetons per cell: 0.97
Calculated density, g/cm³: 8.046

Cell lengths 3.7023, 3.7023, 3.7023 Å; angles 60.00, 60.00, 60.00 degrees
Last column: nearest neighbours and their distance in Å.
Fractional positions:
N (0.2500, 0.2500, 0.2500)  4 Tc 2.27, 4 Ti 2.27
N (0.7500, 0.7500, 0.7500)  4 Ti 2.27, 4 Tc 2.27
Tc (0.5000, 0.5000, 0.5000)  8 N 2.27
Ti (0.0000, 0.0000, 0.0000)  8 N 2.27

Pt2IN after structural relaxation, computed with PBEsol.

E_form (uncorrected), eV/atom: 0.5556
E, eV/atom: -5.500
Magnetization, Bohr magnetons per cell: 0.00
Calculated density, g/cm³: 11.749

Cell lengths 4.9875, 4.9875, 6.9897 Å; angles 110.90, 110.90, 90.00 degrees
Last column: nearest neighbours and their distance in Å.
Fractional positions:
I (0.2500, 0.7500, 0.5000)  4 Pt 2.79
I (0.0000, 0.0000, 0.0000)  4 Pt 2.79
Pt (0.5248, 0.8750, 0.2500)  2 N 2.02
Pt (0.7252, 0.3750, 0.2500)  2 N 2.02
Pt (0.1250, 0.2748, 0.7500)  2 N 2.02
Pt (0.6250, 0.4752, 0.7500)  2 N 2.02
N (0.7500, 0.2500, 0.5000)  4 Pt 2.02
N (0.5000, 0.5000, 0.0000)  4 Pt 2.02

K2SiTe after structural relaxation, computed with PBEsol.

E_form (uncorrected), eV/atom: -0.0879
E, eV/atom: -2.973
Magnetization, Bohr magnetons per cell: 0.00
Calculated density, g/cm³: 2.661

Cell lengths 3.8369, 3.8369, 9.9150 Å; angles 90.00, 90.00, 90.00 degrees
Last column: nearest neighbours and their distance in Å.
Fractional positions:
K (0.0000, 0.0000, 0.9172)  1 Si 3.38, 4 Te 3.64
K (0.5000, 0.5000, 0.3332)  1 Te 3.37, 4 Si 3.63
Si (0.0000, 0.0000, 0.5765)  4 Te 2.88
Te (0.5000, 0.5000, 0.6730)  4 Si 2.88

RbAlTl2B after structural relaxation, computed with PBEsol.

E, eV/atom: -1.334
Magnetization, Bohr magnetons per cell: 0.02
Formation enthalpy at 0 K, meV per atom: 2145
Calculated density, g/cm³: 3.997

Cell lengths 5.9095, 6.1158, 6.1158 Å; angles 90.00, 90.00, 90.00 degrees
Last column: nearest neighbours and their distance in Å.
Fractional positions:
Tl (0.0000, 0.0000, 0.5000)  2 Rb 3.06
Tl (0.0000, 0.5000, 0.0000)  2 Rb 3.06
B (0.5000, 0.5000, 0.5000)  8 Tl 4.25, 4 Al 4.32
Al (0.5000, 0.0000, 0.0000)  2 Rb 2.95
Rb (0.0000, 0.0000, 0.0000)  2 Al 2.95, 4 Tl 3.06

MnAlTc2 after structural relaxation, computed with PBEsol.

E, eV/atom: -9.175
Magnetization, Bohr magnetons per cell: 0.39
Formation enthalpy at 0 K, meV per atom: -78
Calculated density, g/cm³: 8.874

Cell lengths 4.1898, 4.1898, 4.1898 Å; angles 60.00, 60.00, 60.00 degrees
Last column: nearest neighbours and their distance in Å.
Fractional positions:
Mn (0.2500, 0.2500, 0.2500)  4 Tc 2.57, 4 Al 2.57
Tc (0.0000, 0.0000, 0.0000)  4 Tc 2.57, 4 Mn 2.57
Tc (0.7500, 0.7500, 0.7500)  4 Al 2.57, 4 Tc 2.57
Al (0.5000, 0.5000, 0.5000)  4 Mn 2.57, 4 Tc 2.57

Na2Sb2Au after structural relaxation, computed with PBEsol.

E_form (uncorrected), eV/atom: 0.1186
E, eV/atom: -3.049
Magnetization, Bohr magnetons per cell: 0.00
Calculated density, g/cm³: 6.754

Cell lengths 3.0284, 8.8877, 8.8877 Å; angles 90.00, 90.00, 90.00 degrees
Last column: nearest neighbours and their distance in Å.
Fractional positions:
Sb (0.5000, 0.1884, 0.6884)  6 Na 2.92-3.15, 2 Sb 3.03
Sb (0.5000, 0.6884, 0.8116)  6 Na 2.92-3.15, 2 Sb 3.03
Sb (0.5000, 0.8116, 0.3116)  6 Na 2.92-3.15, 2 Sb 3.03
Sb (0.5000, 0.3116, 0.1884)  6 Na 2.92-3.15, 2 Sb 3.03
Au (0.0000, 0.0000, 0.0000)  2 Au 3.03
Au (0.0000, 0.5000, 0.5000)  2 Au 3.03
Na (0.0000, 0.3867, 0.8867)  3 Na 2.85-3.03, 6 Sb 2.92-3.15
Na (0.0000, 0.8867, 0.6133)  3 Na 2.85-3.03, 6 Sb 2.92-3.15
Na (0.0000, 0.6133, 0.1133)  3 Na 2.85-3.03, 6 Sb 2.92-3.15
Na (0.0000, 0.1133, 0.3867)  3 Na 2.85-3.03, 6 Sb 2.92-3.15